First-principles (GGA-PBE) data for crystalline Mn4NbAl at its relaxed geometry, as listed in the Alexandria database.

a b c (Å): 4.7667 4.7667 4.7667
angles (deg): 60.00 60.00 60.00
With the nearest neighbours (Å) after each atom.
Sites, in units of the cell vectors:
Mn: 0.6259 0.6259 0.6259  6 Mn 2.37-2.40
Mn: 0.6259 0.6259 0.1223  6 Mn 2.37-2.40
Mn: 0.6259 0.1223 0.6259  6 Mn 2.37-2.40
Mn: 0.1223 0.6259 0.6259  6 Mn 2.37-2.40
Nb: 0.2500 0.2500 0.2500  12 Mn 2.80, 4 Al 2.92
Al: 0.0000 0.0000 0.0000  12 Mn 2.79, 4 Nb 2.92

Computed properties:
Fermi-level density of states ... 6.1 states/eV/cell
Energy ... -0.6329 Ry per atom
ΔE_f ... -1.17 eV/f.u.